A plane-wave DFT calculation with PBE-GGA was carried out for crystalline CeAlZn4 at its relaxed geometry.

Lattice parameters (Å, degrees): 4.816 13.694 7.048 90.00 90.00 90.00
Space group Cmcm (No. 63)
Asymmetric unit:
1 Ce 0.000 0.113 0.250 [4 per cell]
2 Al 0.000 0.355 0.250 [4 per cell]
3 Zn 0.000 0.097 0.750 [4 per cell]
4 Zn 0.000 0.275 0.573 [8 per cell]
5 Zn 0.000 0.500 0.000 [4 per cell]

Values from the calculation:
**Energy relative to the lowest polymorph listed for this composition**: 0.214 eV per atom


A plane-wave DFT calculation with PBE-GGA was carried out for crystalline Hg2Ru at its relaxed geometry.

Lattice parameters (Å, degrees): 11.917 2.919 7.706 90.00 117.00 90.00
Space group C2/m (No. 12)
Asymmetric unit:
1 Hg 0.048 0.000 0.234 [4 per cell]
2 Hg 0.156 0.500 0.630 [4 per cell]
3 Ru 0.173 0.500 0.032 [4 per cell]

Values from the calculation:
**E_tot**: -2.857 eV per atom


A plane-wave DFT calculation with PBE-GGA was carried out for crystalline LaPrTlPt at its relaxed geometry.

Lattice parameters (Å, degrees): 7.617 7.617 7.617 90.00 90.00 90.00
Space group F-43m (No. 216)
Asymmetric unit:
1 La 0.000 0.000 0.000 [4 per cell]
2 Pr 0.000 0.000 0.500 [4 per cell]
3 Tl 0.250 0.250 0.750 [4 per cell]
4 Pt 0.250 0.250 0.250 [4 per cell]

Values from the calculation:
**E_tot**: -5.130 eV per atom


A plane-wave DFT calculation with PBE-GGA was carried out for crystalline CsSbPHPt at its relaxed geometry.

Lattice parameters (Å, degrees): 4.390 4.681 7.098 71.14 77.08 89.35
Space group P1 (No. 1)
Asymmetric unit:
1 Cs 0.000 0.000 0.000 [1 per cell]
2 Sb 0.401 0.319 0.387 [1 per cell]
3 P 0.604 0.552 0.609 [1 per cell]
4 H 0.899 0.029 0.576 [1 per cell]
5 Pt 0.120 0.763 0.533 [1 per cell]

Values from the calculation:
**Energy relative to the lowest polymorph listed for this composition**: 0.127 eV per atom


A plane-wave DFT calculation with PBE-GGA was carried out for crystalline Ac2AsP at its relaxed geometry.

Lattice parameters (Å, degrees): 3.813 3.813 7.669 90.00 90.00 90.00
Space group P4/mmm (No. 123)
Asymmetric unit:
1 Ac 0.000 0.000 0.243 [2 per cell]
2 As 0.500 0.500 0.500 [1 per cell]
3 P 0.500 0.500 0.000 [1 per cell]

Values from the calculation:
**Energy relative to the lowest polymorph listed for this composition**: 0.360 eV per atom


A plane-wave DFT calculation with PBE-GGA was carried out for crystalline Nb6GeC at its relaxed geometry.

Lattice parameters (Å, degrees): 4.899 5.311 5.761 96.24 113.39 96.89
Space group P-1 (No. 2)
Asymmetric unit:
1 Nb 0.086 0.276 0.171 [2 per cell]
2 Nb 0.265 0.830 0.462 [2 per cell]
3 Nb 0.312 0.386 0.755 [2 per cell]
4 Ge 0.500 0.000 0.000 [1 per cell]
5 C 0.500 0.500 0.500 [1 per cell]

Values from the calculation:
**E_tot**: -9.416 eV per atom


D(E_F) readings, ordered: 7.091 2.504 4.147 0.138 1.990 4.552 states/eV/f.u.
Volume readings, ordered: 19.37 19.91 27.62 26.85 27.87 16.82 Å³/atom
Total magnetization readings, ordered: 3.6 2.1 0.0 0.0 0.0 0.0 Bohr magnetons per cell